No. 1
Entry from Alexandria via LeMat-Bulk: crystalline U2Tl2S5 at its relaxed geometry (PBE-GGA).

Properties
Energy relative to the elements, uncorrected in kJ/mol of atoms: -102.9
Final energy in eV per atom: -6.3942

Lattice parameters (Å, degrees): 8.8058 8.8058 7.5293 90.00 90.00 50.62
Atoms (fractional coordinates):
1 U 0.1610 0.8390 0.8391
2 U 0.3390 0.6610 0.3391
3 U 0.6610 0.3390 0.6609
4 U 0.8390 0.1610 0.1609
5 Tl 0.2009 0.2009 0.5000
6 Tl 0.2991 0.2991 0.0000
7 Tl 0.7009 0.7009 0.0000
8 Tl 0.7991 0.7991 0.5000
9 S 0.0000 0.0000 0.5000
10 S 0.0381 0.7458 0.1458
11 S 0.2458 0.5381 0.6458
12 S 0.2542 0.9619 0.1458
13 S 0.4619 0.7542 0.6458
14 S 0.5000 0.5000 0.0000
15 S 0.5381 0.2458 0.3542
16 S 0.7458 0.0381 0.8542
17 S 0.7542 0.4619 0.3542
18 S 0.9619 0.2542 0.8542


No. 2
Entry from Alexandria via LeMat-Bulk: crystalline PrHo4In at its relaxed geometry (PBE-GGA).

Properties
ΔE_f in eV/atom: -0.15
Final energy in eV per atom: -4.4502
Energy relative to the lowest polymorph listed for this composition in eV per atom: 0.0000

Lattice parameters (Å, degrees): 3.5856 3.5856 14.2664 90.00 90.00 90.00
Atoms (fractional coordinates):
1 Pr 0.0000 0.0000 0.0000
2 Ho 0.0000 0.0000 0.3542
3 Ho 0.0000 0.0000 0.6458
4 Ho 0.5000 0.5000 0.1805
5 Ho 0.5000 0.5000 0.8195
6 In 0.5000 0.5000 0.5000


No. 3
Entry from Alexandria via LeMat-Bulk: crystalline Ti4VRe at its relaxed geometry (PBE-GGA).

Properties
ΔE_f in eV/atom: -0.13
Final energy in eV per atom: -8.9893
Energy relative to the lowest polymorph listed for this composition in eV per atom: 0.0000

Lattice parameters (Å, degrees): 5.2224 5.2224 5.5795 122.05 122.05 50.21
Atoms (fractional coordinates):
1 Ti 0.1601 0.1601 0.3123
2 Ti 0.1773 0.1773 0.8210
3 Ti 0.8227 0.8227 0.1790
4 Ti 0.8399 0.8399 0.6877
5 V 0.5000 0.5000 0.5000
6 Re 0.5000 0.5000 0.0000


No. 4
Entry from Alexandria via LeMat-Bulk: crystalline Pm6In5Ga at its relaxed geometry (PBE-GGA).

Properties
ΔE_f in eV/atom: -0.50
Final energy in eV per atom: -4.2705

Lattice parameters (Å, degrees): 8.5436 8.5436 7.6485 90.00 90.00 143.14
Atoms (fractional coordinates):
1 Pm 0.0000 0.0000 0.2426
2 Pm 0.0000 0.0000 0.7574
3 Pm 0.3373 0.6627 0.2469
4 Pm 0.3373 0.6627 0.7531
5 Pm 0.6627 0.3373 0.2469
6 Pm 0.6627 0.3373 0.7531
7 In 0.1684 0.8316 0.5000
8 In 0.1698 0.8302 0.0000
9 In 0.5000 0.5000 0.5000
10 In 0.8302 0.1698 0.0000
11 In 0.8316 0.1684 0.5000
12 Ga 0.5000 0.5000 0.0000


What is the formula in the first record? U2Tl2S5


Which of these has the highest final energy? Pm6In5Ga


The highest final energy belongs to which entry? Pm6In5Ga


Number 3 is which compound? Ti4VRe